No. 1
Ac4BPBr2: relaxed, PBE.

Output
M_tot in μB per formula unit: 0.00
SG: No. 10
Total DFT energy (no corrections) in eV/atom: -5.044

The structure in extended XYZ format:
```
8
Lattice="4.344 0.000 0.000 0.000 7.539 0.132 0.000 -2.651 7.786" Properties=species:S:1:pos:R:3 pbc="T T T"
Ac 0.000 4.885 1.621
Ac 2.172 3.559 6.307
Ac 2.172 1.329 1.611
B 2.172 3.770 0.066
Br 2.172 -1.325 3.893
Br 0.000 2.444 3.959
P 0.000 0.000 0.000
Ac 0.000 0.004 6.298
```



No. 2
Sr2PmHg3: relaxed, PBE.

Output
Calculated formation energy in eV/atom: -0.509
M_tot in μB per formula unit: 0.00
SG: No. 12

The structure in extended XYZ format:
```
12
Lattice="5.539 0.000 0.023 2.770 8.305 0.011 -0.030 0.000 7.940" Properties=species:S:1:pos:R:3 pbc="T T T"
Sr 0.000 0.000 0.000
Hg 5.531 2.850 1.854
Hg 2.747 5.456 6.121
Pm 2.770 2.757 0.011
Hg 5.517 2.850 6.132
Hg 2.757 0.000 1.895
Sr 2.754 2.759 3.982
Sr -0.015 0.000 3.970
Hg 2.761 5.456 1.843
Hg 2.752 0.000 6.068
Sr 5.524 5.547 3.993
Pm 5.539 5.549 0.023
```



No. 3
La2CdTcCl: relaxed, PBE.

Output
M_tot in μB per formula unit: 1.39
SG: No. 123
Total DFT energy (no corrections) in eV/atom: -4.002

The structure in extended XYZ format:
```
5
Lattice="-5.555 1.828 1.218 -1.793 -4.315 -1.699 0.432 -2.337 5.480" Properties=species:S:1:pos:R:3 pbc="T T T"
Tc -0.896 -2.158 -0.850
La -2.777 0.914 0.609
Cl -3.457 -2.412 2.499
Cd 0.000 0.000 0.000
La 0.216 -1.169 2.740
```



What is the M_tot in the second record? 0.00 μB per formula unit